--- w ---
Entry from the Alexandria database: a geometry-optimized LiCo2PdC structure (PBE-GGA).

Unit cell a=3.658 b=3.658 c=4.154 alpha=90.00 beta=90.00 gamma=90.00
Atoms (fractional coordinates):
1 Li 0.000 0.000 0.000
2 Co 0.000 0.500 0.500
3 Co 0.500 0.000 0.500
4 Pd 0.500 0.500 0.000
5 C 0.000 0.000 0.500

## Properties
Density ... 7.264 g/cm3
Spin magnetization ... 1.5 μB/f.u.
Calculated volume ... 11.12 Å³ per atom

--- x ---
Entry from the Alexandria database: a geometry-optimized LiCo2PdC structure (PBE-GGA).

Unit cell a=3.712 b=3.712 c=4.182 alpha=90.00 beta=90.00 gamma=90.00
Atoms (fractional coordinates):
1 Li 0.000 0.000 0.000
2 Co 0.000 0.500 0.500
3 Co 0.500 0.000 0.500
4 Pd 0.500 0.500 0.000
5 C 0.500 0.500 0.500

## Properties
Density ... 7.008 g/cm3
Spin magnetization ... 1.1 μB/f.u.
Calculated volume ... 11.53 Å³ per atom

Verdict on stability: x comes out on top.

--- w ---
Entry from the Alexandria database: a geometry-optimized LiCo2RhC structure (PBE-GGA).

Unit cell a=3.823 b=3.823 c=4.120 alpha=90.00 beta=90.00 gamma=90.00
Atoms (fractional coordinates):
1 Li 0.000 0.000 0.000
2 Co 0.000 0.500 0.000
3 Co 0.500 0.000 0.000
4 Rh 0.000 0.000 0.500
5 C 0.500 0.500 0.500

## Properties
Density ... 6.611 g/cm3
Spin magnetization ... 4.0 μB/f.u.
Calculated volume ... 12.04 Å³ per atom

--- x ---
Entry from the Alexandria database: a geometry-optimized LiCo2RhC structure (PBE-GGA).

Unit cell a=3.746 b=3.746 c=4.030 alpha=90.00 beta=90.00 gamma=90.00
Atoms (fractional coordinates):
1 Li 0.000 0.000 0.000
2 Co 0.000 0.500 0.500
3 Co 0.500 0.000 0.500
4 Rh 0.500 0.500 0.000
5 C 0.500 0.500 0.500

## Properties
Density ... 7.039 g/cm3
Spin magnetization ... 1.9 μB/f.u.
Calculated volume ... 11.31 Å³ per atom

Verdict on stability: x comes out on top.

--- w ---
Entry from the Alexandria database: a geometry-optimized Sr2LiCoC structure (PBE-GGA).

Unit cell a=5.571 b=5.571 c=3.686 alpha=90.00 beta=90.00 gamma=90.00
Atoms (fractional coordinates):
1 Sr 0.000 0.500 0.000
2 Sr 0.500 0.000 0.000
3 Li 0.000 0.000 0.500
4 Co 0.500 0.500 0.500
5 C 0.500 0.500 0.000

## Properties
Density ... 3.674 g/cm3
Spin magnetization ... 0.0 μB/f.u.
Calculated volume ... 22.88 Å³ per atom

--- x ---
Entry from the Alexandria database: a geometry-optimized Sr2LiCoC structure (PBE-GGA).

Unit cell a=5.505 b=5.505 c=3.967 alpha=90.00 beta=90.00 gamma=90.00
Atoms (fractional coordinates):
1 Sr 0.000 0.500 0.000
2 Sr 0.500 0.000 0.000
3 Li 0.000 0.000 0.000
4 Co 0.000 0.000 0.500
5 C 0.500 0.500 0.500

## Properties
Density ... 3.496 g/cm3
Spin magnetization ... 1.9 μB/f.u.
Calculated volume ... 24.05 Å³ per atom

Verdict on stability: w comes out on top.

--- w ---
Entry from the Alexandria database: a geometry-optimized MgCo2C2 structure (PBE-GGA).

Unit cell a=3.502 b=3.502 c=8.228 alpha=90.00 beta=90.00 gamma=90.00
Atoms (fractional coordinates):
1 Mg 0.000 0.000 0.000
2 Mg 0.500 0.500 0.500
3 Co 0.000 0.000 0.348
4 Co 0.000 0.000 0.652
5 Co 0.500 0.500 0.152
6 Co 0.500 0.500 0.848
7 C 0.000 0.500 0.250
8 C 0.000 0.500 0.750
9 C 0.500 0.000 0.250
10 C 0.500 0.000 0.750

## Properties
Density ... 5.470 g/cm3
Spin magnetization ... 0.0 μB/f.u.
Calculated volume ... 10.09 Å³ per atom

--- x ---
Entry from the Alexandria database: a geometry-optimized MgCo2C2 structure (PBE-GGA).

Unit cell a=6.052 b=6.052 c=2.507 alpha=90.00 beta=90.00 gamma=90.00
Atoms (fractional coordinates):
1 Mg 0.000 0.000 0.000
2 Mg 0.500 0.500 0.000
3 Co 0.139 0.361 0.000
4 Co 0.361 0.861 0.000
5 Co 0.639 0.139 0.000
6 Co 0.861 0.639 0.000
7 C 0.175 0.675 0.500
8 C 0.325 0.175 0.500
9 C 0.675 0.825 0.500
10 C 0.825 0.325 0.500

## Properties
Density ... 6.011 g/cm3
Spin magnetization ... 0.0 μB/f.u.
Calculated volume ... 9.18 Å³ per atom

Verdict on stability: w comes out on top.